Crystalline Tb3Ge2Rh2 at its relaxed geometry. Source: Alexandria via LeMat-Bulk, functional PBE.

Structure (CIF):
```
data_Tb3Ge2Rh2
_chemical_formula_sum 'Tb12 Ge8 Rh8'
_cell_length_a 5.608
_cell_length_b 7.826
_cell_length_c 13.329
_cell_angle_alpha 90.00
_cell_angle_beta 90.00
_cell_angle_gamma 90.00
_space_group_name_H-M_alt 'P b c m'
_space_group_IT_number 57
_space_group_name_Hall '-P 2c 2b'
loop_
_atom_site_label
_atom_site_type_symbol
_atom_site_fract_x
_atom_site_fract_y
_atom_site_fract_z
Tb1 Tb 0.131 0.240 0.250
Tb2 Tb 0.355 0.604 0.100
Ge1 Ge 0.163 0.250 0.000
Ge2 Ge 0.370 0.612 0.750
Rh1 Rh 0.126 0.543 0.592
```

---

Crystalline Tb4Ge6Rh7 at its relaxed geometry. Source: Alexandria via LeMat-Bulk, functional PBE.

Structure (CIF):
```
data_Tb4Ge6Rh7
_chemical_formula_sum 'Tb8 Ge12 Rh14'
_cell_length_a 8.422
_cell_length_b 8.422
_cell_length_c 8.422
_cell_angle_alpha 90.00
_cell_angle_beta 90.00
_cell_angle_gamma 90.00
_space_group_name_H-M_alt 'I m -3 m'
_space_group_IT_number 229
_space_group_name_Hall '-I 4 2 3'
loop_
_atom_site_label
_atom_site_type_symbol
_atom_site_fract_x
_atom_site_fract_y
_atom_site_fract_z
Tb1 Tb 0.250 0.250 0.250
Ge1 Ge 0.000 0.000 0.322
Rh1 Rh 0.000 0.000 0.000
Rh2 Rh 0.000 0.250 0.500
```

---

ΔE_f, respectively: -0.93 -0.94 eV/atom.
Density of states at the Fermi level, respectively: 0.622 0.551 states/eV per atom.